The following is a DFT calculation (GGA-PBE) of TlPd3Au after structural relaxation.

The value obtained for the final energy is -3.54 eV/atom. The theoretical density is 9406 kg/m³. For the excess energy over the best structure of this formula in the dataset, the calculation gives 73.6 kJ per mole of atoms.

It has space group Pm-3m (No. 221), with a = 5.029 Å, b = 5.029 Å, c = 5.029 Å, α = 90.00°, β = 90.00° and γ = 90.00°. The distinct sites, in fractional coordinates, are Tl at (0.000, 0.000, 0.000), Pd at (0.000, 0.500, 0.500) and Au at (0.500, 0.500, 0.500).

=====

The following is a DFT calculation (GGA-PBE) of TlPdAu2 after structural relaxation.

The value obtained for the final energy is -3.48 eV/atom. The theoretical density is 13722 kg/m³. For the excess energy over the best structure of this formula in the dataset, the calculation gives 8.4 kJ per mole of atoms.

It has space group R3m (No. 160, hexagonal axes), with a = 4.5656 Å, b = 4.5656 Å, c = 14.1732 Å, α = 90.00°, β = 90.00° and γ = 120.00°. The distinct sites, in fractional coordinates, are Tl at (0.0000, 0.0000, 0.0000), Pd at (0.0000, 0.0000, 0.1925), Au at (0.0000, 0.0000, 0.5733) and Au at (0.0000, 0.0000, 0.7846).

=====

The following is a DFT calculation (GGA-PBE) of Tl3PdAu after structural relaxation.

The value obtained for the final energy is -3.10 eV/atom. The theoretical density is 11914 kg/m³. For the excess energy over the best structure of this formula in the dataset, the calculation gives 7.4 kJ per mole of atoms.

It has space group Ima2 (No. 46), with a = 10.612 Å, b = 7.372 Å, c = 6.532 Å, α = 90.00°, β = 90.00° and γ = 90.00°. The distinct sites, in fractional coordinates, are Tl at (0.012, 0.247, 0.000), Tl at (0.250, 0.054, 0.742), Pd at (0.250, 0.749, 0.493) and Au at (0.250, 0.053, 0.246).

=====

The following is a DFT calculation (GGA-PBE) of TlPd7Au4 after structural relaxation.

The value obtained for the final energy is -4.43 eV/atom. The theoretical density is 14323 kg/m³. For the excess energy over the best structure of this formula in the dataset, the calculation gives 0.0 kJ per mole of atoms.

It has space group P-1 (No. 2), with a = 4.929 Å, b = 5.789 Å, c = 7.644 Å, α = 77.84°, β = 71.22° and γ = 89.78°. The distinct sites, in fractional coordinates, are Tl at (0.000, 0.000, 0.000), Pd at (0.000, 0.500, 0.000), Pd at (0.167, 0.919, 0.332), Pd at (0.333, 0.330, 0.668), Pd at (0.500, 0.253, 0.000), Au at (0.167, 0.422, 0.331) and Au at (0.338, 0.828, 0.662).

=====

The following is a DFT calculation (GGA-PBE) of Tl2Pd7Au3 after structural relaxation.

The value obtained for the final energy is -4.27 eV/atom. The theoretical density is 12706 kg/m³. For the excess energy over the best structure of this formula in the dataset, the calculation gives 2.1 kJ per mole of atoms.

It has space group C2/m (No. 12), with a = 4.825 Å, b = 20.332 Å, c = 4.763 Å, α = 90.00°, β = 102.61° and γ = 90.00°. The distinct sites, in fractional coordinates, are Tl at (0.000, 0.147, 0.000), Pd at (0.000, 0.000, 0.000), Pd at (0.000, 0.072, 0.500), Pd at (0.000, 0.284, 0.000), Pd at (0.000, 0.427, 0.000), Au at (0.000, 0.352, 0.500) and Au at (0.000, 0.500, 0.500).

=====

The following is a DFT calculation (GGA-PBE) of TlPd4Au after structural relaxation.

The value obtained for the final energy is -4.54 eV/atom. The theoretical density is 13533 kg/m³. For the excess energy over the best structure of this formula in the dataset, the calculation gives 0.0 kJ per mole of atoms.

It has space group C2/m (No. 12), with a = 9.031 Å, b = 4.004 Å, c = 5.912 Å, α = 90.00°, β = 108.31° and γ = 90.00°. The distinct sites, in fractional coordinates, are Tl at (0.000, 0.000, 0.000), Pd at (0.166, 0.500, 0.830), Pd at (0.169, 0.500, 0.337) and Au at (0.000, 0.000, 0.500).

=====

The following is a DFT calculation (GGA-PBE) of Tl2Pd4Au3 after structural relaxation.

The value obtained for the final energy is -4.07 eV/atom. The theoretical density is 14708 kg/m³.

It has space group C2/m (No. 12), with a = 8.508 Å, b = 4.376 Å, c = 8.729 Å, α = 90.00°, β = 97.99° and γ = 90.00°. The distinct sites, in fractional coordinates, are Tl at (0.168, 0.000, 0.218), Pd at (0.001, 0.500, 0.328), Pd at (0.167, 0.000, 0.889), Au at (0.000, 0.500, 0.000) and Au at (0.162, 0.000, 0.553).

=====

The following is a DFT calculation (GGA-PBE) of Tl3Pd4Au2 after structural relaxation.

The value obtained for the final energy is -3.91 eV/atom. The theoretical density is 13909 kg/m³.

It has space group C2/c (No. 15), with a = 12.912 Å, b = 9.972 Å, c = 5.332 Å, α = 90.00°, β = 94.65° and γ = 90.00°. The distinct sites, in fractional coordinates, are Tl at (0.000, 0.114, 0.250), Tl at (0.156, 0.385, 0.062), Pd at (0.056, 0.357, 0.526), Pd at (0.120, 0.127, 0.823) and Au at (0.218, 0.134, 0.371).

=====

The following is a DFT calculation (GGA-PBE) of Tl8Pd2Au after structural relaxation.

The value obtained for the final energy is -2.99 eV/atom. The theoretical density is 11762 kg/m³.

It has space group C2/m (No. 12), with a = 8.724 Å, b = 12.737 Å, c = 5.377 Å, α = 90.00°, β = 104.93° and γ = 90.00°. The distinct sites, in fractional coordinates, are Tl at (0.000, 0.237, 0.000), Tl at (0.127, 0.500, 0.814), Tl at (0.198, 0.124, 0.599), Pd at (0.000, 0.313, 0.500) and Au at (0.000, 0.000, 0.000).

=====

The following is a DFT calculation (GGA-PBE) of Tl2PdAu after structural relaxation.

The value obtained for the final energy is -3.41 eV/atom. The theoretical density is 12378 kg/m³. For the excess energy over the best structure of this formula in the dataset, the calculation gives 0.0 kJ per mole of atoms.

It has space group P-3m1 (No. 164), with a = 4.4768 Å, b = 4.4768 Å, c = 5.5042 Å, α = 90.00°, β = 90.00° and γ = 120.00°. The distinct sites, in fractional coordinates, are Tl at (0.3333, 0.6667, 0.2304), Pd at (0.0000, 0.0000, 0.0000) and Au at (0.0000, 0.0000, 0.5000).

=====

The following is a DFT calculation (GGA-PBE) of TlPd8Au2 after structural relaxation.

The value obtained for the final energy is -4.70 eV/atom. The theoretical density is 13328 kg/m³. For the excess energy over the best structure of this formula in the dataset, the calculation gives 0.0 kJ per mole of atoms.

It has space group C2/m (No. 12), with a = 14.472 Å, b = 4.056 Å, c = 6.403 Å, α = 90.00°, β = 106.02° and γ = 90.00°. The distinct sites, in fractional coordinates, are Tl at (0.000, 0.000, 0.000), Pd at (0.046, 0.500, 0.723), Pd at (0.090, 0.000, 0.457), Pd at (0.137, 0.500, 0.181), Pd at (0.182, 0.000, 0.909) and Au at (0.227, 0.500, 0.639).

=====

The following is a DFT calculation (GGA-PBE) of Tl6PdAu after structural relaxation.

The value obtained for the final energy is -2.71 eV/atom. The theoretical density is 8723 kg/m³.

It has space group R-3m (No. 166, hexagonal axes), with a = 13.6147 Å, b = 13.6147 Å, c = 5.4422 Å, α = 90.00°, β = 90.00° and γ = 120.00°. The distinct sites, in fractional coordinates, are Tl at (0.1096, 0.2192, 0.2080), Pd at (0.0000, 0.0000, 0.0000) and Au at (0.0000, 0.0000, 0.5000).